Mg3MnPd12: relaxed, PBE.

The space group is P4/mmm (No. 123) and the conventional cell measures 3.960, 3.960 and 15.809 Å, with angles of 90.00, 90.00 and 90.00 degrees. Symmetry generates all atoms from Mg at (0.000, 0.000, 0.000), Mg at (0.000, 0.000, 0.251), Mn at (0.000, 0.000, 0.500), Pd at (0.000, 0.500, 0.126), Pd at (0.000, 0.500, 0.378), Pd at (0.500, 0.500, 0.000), Pd at (0.500, 0.500, 0.252) and Pd at (0.500, 0.500, 0.500).

As for the calculated formation energy: -0.407 eV per atom. For the total DFT energy (no corrections), the calculation gives -82.8 eV/cell.

=====

MgMn3Pd4: relaxed, PBE.

The space group is I4/mmm (No. 139) and the conventional cell measures 4.236, 4.236 and 13.649 Å, with angles of 90.00, 90.00 and 90.00 degrees. Symmetry generates all atoms from Mg at (0.000, 0.000, 0.000), Mn at (0.000, 0.000, 0.250), Mn at (0.000, 0.000, 0.500) and Pd at (0.000, 0.500, 0.127).

As for the calculated formation energy: -0.331 eV per atom. For the total DFT energy (no corrections), the calculation gives -105.0 eV/cell.

=====

Mg2MnPd9: relaxed, PBE.

The space group is P4/mmm (No. 123) and the conventional cell measures 3.951, 3.951 and 11.869 Å, with angles of 90.00, 90.00 and 90.00 degrees. Symmetry generates all atoms from Mg at (0.000, 0.000, 0.167), Mn at (0.000, 0.000, 0.500), Pd at (0.000, 0.500, 0.000), Pd at (0.000, 0.500, 0.337), Pd at (0.500, 0.500, 0.169) and Pd at (0.500, 0.500, 0.500).

As for the calculated formation energy: -0.387 eV per atom. For the total DFT energy (no corrections), the calculation gives -63.7 eV/cell.

=====

MgMnPd3: relaxed, PBE.

The space group is Pm-3m (No. 221) and the conventional cell measures 4.539, 4.539 and 4.539 Å, with angles of 90.00, 90.00 and 90.00 degrees. Symmetry generates all atoms from Mg at (0.000, 0.000, 0.000), Mn at (0.500, 0.500, 0.500) and Pd at (0.000, 0.000, 0.500).

As for the calculated formation energy: 1.049 eV per atom. For the total DFT energy (no corrections), the calculation gives -21.1 eV/cell.

=====

MgMnPd2: relaxed, PBE.

The space group is P4/mmm (No. 123) and the conventional cell measures 3.224, 3.224 and 6.005 Å, with angles of 90.00, 90.00 and 90.00 degrees. Symmetry generates all atoms from Mg at (0.000, 0.000, 0.000), Mn at (0.000, 0.000, 0.500) and Pd at (0.500, 0.500, 0.256).

As for the calculated formation energy: -0.468 eV per atom. For the total DFT energy (no corrections), the calculation gives -23.0 eV/cell.

=====

MgMnPd2: relaxed, PBE.

The space group is P4/mmm (No. 123) and the conventional cell measures 4.229, 4.229 and 3.481 Å, with angles of 90.00, 90.00 and 90.00 degrees. Symmetry generates all atoms from Mg at (0.000, 0.000, 0.000), Mn at (0.500, 0.500, 0.000) and Pd at (0.000, 0.500, 0.500).

As for the calculated formation energy: -0.466 eV per atom. For the total DFT energy (no corrections), the calculation gives -23.0 eV/cell.

=====

Mg6MnPd12: relaxed, PBE.

The space group is R-3 (No. 148, hexagonal axes) and the conventional cell measures 9.7265, 9.7265 and 11.3634 Å, with angles of 90.00, 90.00 and 120.00 degrees. Symmetry generates all atoms from Mg at (0.0122, 0.4197, 0.2159), Mn at (0.0000, 0.0000, 0.5000), Pd at (0.0359, 0.1844, 0.3280) and Pd at (0.0521, 0.8533, 0.9036).

As for the calculated formation energy: -0.424 eV per atom. For the total DFT energy (no corrections), the calculation gives -267.3 eV/cell.

=====

Mg2Mn2Pd7: relaxed, PBE.

The space group is C2/m (No. 12) and the conventional cell measures 10.109, 8.192 and 4.584 Å, with angles of 90.00, 99.01 and 90.00 degrees. Symmetry generates all atoms from Mg at (0.000, 0.210, 0.000), Mn at (0.228, 0.500, 0.779), Pd at (0.000, 0.000, 0.500), Pd at (0.064, 0.500, 0.276) and Pd at (0.210, 0.178, 0.730).

As for the calculated formation energy: -0.189 eV per atom. For the total DFT energy (no corrections), the calculation gives -119.9 eV/cell.

=====

MgMnPd3: relaxed, PBE.

The space group is P-1 (No. 2) and the conventional cell measures 2.914, 6.846 and 7.788 Å, with angles of 103.20, 100.65 and 90.05 degrees. Symmetry generates all atoms from Mg at (0.017, 0.273, 0.036), Mn at (0.226, 0.893, 0.453), Pd at (0.201, 0.344, 0.399), Pd at (0.388, 0.396, 0.779) and Pd at (0.402, 0.988, 0.805).

As for the calculated formation energy: -0.272 eV per atom. For the total DFT energy (no corrections), the calculation gives -55.4 eV/cell.

=====

MgMnPd3: relaxed, PBE.

The space group is Pm-3m (No. 221) and the conventional cell measures 4.672, 4.672 and 4.672 Å, with angles of 90.00, 90.00 and 90.00 degrees. Symmetry generates all atoms from Mg at (0.000, 0.000, 0.000), Mn at (0.500, 0.500, 0.500) and Pd at (0.000, 0.500, 0.500).

As for the calculated formation energy: 0.363 eV per atom. For the total DFT energy (no corrections), the calculation gives -24.5 eV/cell.

=====

Mg2MnPd3: relaxed, PBE.

The space group is P-3m1 (No. 164) and the conventional cell measures 4.4686, 4.4686 and 10.9328 Å, with angles of 90.00, 90.00 and 120.00 degrees. Symmetry generates all atoms from Mg at (0.0000, 0.0000, 0.0000), Mg at (0.0000, 0.0000, 0.5000), Mg at (0.3333, 0.6667, 0.1690), Mn at (0.3333, 0.6667, 0.6652), Pd at (0.0000, 0.0000, 0.2527), Pd at (0.3333, 0.6667, 0.4167) and Pd at (0.3333, 0.6667, 0.9138).

As for the calculated formation energy: -0.554 eV per atom. For the total DFT energy (no corrections), the calculation gives -62.5 eV/cell.

=====

MgMnPdPt: relaxed, PBE.

The space group is F-43m (No. 216) and the conventional cell measures 6.274, 6.274 and 6.274 Å, with angles of 90.00, 90.00 and 90.00 degrees. Symmetry generates all atoms from Mg at (0.000, 0.000, 0.000), Mn at (0.000, 0.000, 0.500), Pd at (0.250, 0.250, 0.250) and Pt at (0.250, 0.250, 0.750).

As for the calculated formation energy: -0.562 eV per atom. For the total DFT energy (no corrections), the calculation gives -97.0 eV/cell.

=====

- Look up the calculated formation energy of the ninth one.
  -0.272 eV per atom